[1]
Computed, not measured: a relaxed Li3Ni2Sn3 crystal at the PBE level of DFT.

a = 4.2036 Å, b = 4.1399 Å, c = 8.4575 Å
α = 75.64°, β = 75.41°, γ = 89.88°
With the nearest neighbours (Å) after each atom.
Fractional coordinates of all 8 atoms:
Li (0.1410, 0.6409, 0.7172)  4 Ni 2.65-2.76, 4 Sn 2.95-2.96
Li (0.0000, 0.0000, 0.0000)  8 Sn 2.95-3.21, 4 Li 3.04-3.05
Sn (0.5000, 0.5000, 0.0000)  8 Li 2.95-3.08, 4 Sn 3.18-3.19
Sn (0.6534, 0.1526, 0.6943)  4 Ni 2.57-2.62
Sn (0.3466, 0.8474, 0.3057)  4 Ni 2.57-2.62
Li (0.8590, 0.3591, 0.2828)  4 Ni 2.65-2.76, 4 Sn 2.95-2.96
Ni (0.2476, 0.2460, 0.5079)  4 Sn 2.57-2.62, 4 Li 2.65-2.76
Ni (0.7524, 0.7540, 0.4921)  4 Sn 2.57-2.62, 4 Li 2.65-2.76

Results
- Total magnetization: 0.00 μB/f.u.
- Formation energy: -0.289 eV/atom
- Calculated density: 6.0 g/cm³
- Density of states at the Fermi level: 4.4 states/eV per cell
- Volume: 17.21 A^3/atom

=====

[2]
Computed, not measured: a relaxed SmEuGaAu crystal at the PBE level of DFT.

a = 5.2447 Å, b = 5.2447 Å, c = 5.2447 Å
α = 60.00°, β = 60.00°, γ = 60.00°
With the nearest neighbours (Å) after each atom.
Fractional coordinates of all 4 atoms:
Eu (0.0000, 0.0000, 0.0000)  4 Ga 3.21, 4 Au 3.21
Sm (0.5000, 0.5000, 0.5000)  4 Ga 3.21, 4 Au 3.21
Ga (0.2500, 0.2500, 0.2500)  4 Sm 3.21, 4 Eu 3.21
Au (0.7500, 0.7500, 0.7500)  4 Eu 3.21, 4 Sm 3.21

Results
- Total magnetization: 6.81 μB/f.u.
- Formation energy: -0.618 eV/atom
- Calculated density: 9.3 g/cm³
- Density of states at the Fermi level: 9.1 states/eV per cell
- Volume: 25.50 A^3/atom

=====

[3]
Computed, not measured: a relaxed LaNiW2 crystal at the PBE level of DFT.

a = 2.8070 Å, b = 2.8070 Å, c = 9.0339 Å
α = 90.00°, β = 90.00°, γ = 90.07°
With the nearest neighbours (Å) after each atom.
Fractional coordinates of all 4 atoms:
W (0.0000, 0.0000, 0.5554)  4 Ni 2.65, 4 W 2.81
La (0.5000, 0.5000, 0.2500)  4 La 2.81
Ni (0.5000, 0.5000, 0.7500)  8 W 2.65, 4 Ni 2.81
W (0.0000, 0.0000, 0.9446)  4 Ni 2.65, 4 W 2.81

Results
- Total magnetization: 0.00 μB/f.u.
- Formation energy: 0.550 eV/atom
- Calculated density: 13.2 g/cm³
- Density of states at the Fermi level: 5.5 states/eV per cell
- Volume: 17.79 A^3/atom

=====

[4]
Computed, not measured: a relaxed MgAs2I crystal at the PBE level of DFT.

a = 4.1370 Å, b = 4.1370 Å, c = 12.5272 Å
α = 80.50°, β = 80.50°, γ = 90.00°
With the nearest neighbours (Å) after each atom.
Fractional coordinates of all 8 atoms:
Mg (0.5000, 0.5000, 0.0000)  4 I 2.93
I (0.0000, 0.0000, 0.0000)  4 Mg 2.93
As (0.3750, 0.4513, 0.7500)  2 As 2.52
As (0.8750, 0.7987, 0.7500)  2 As 2.52
As (0.2013, 0.6250, 0.2500)  2 As 2.52
I (0.7500, 0.2500, 0.5000)  4 Mg 2.93
As (0.5487, 0.1250, 0.2500)  2 As 2.52
Mg (0.2500, 0.7500, 0.5000)  4 I 2.93

Results
- Total magnetization: 0.00 μB/f.u.
- ΔE_f (raw): -7.7 kJ/mol of atoms
- Calculated density: 4.8 g/cm³
- Density of states at the Fermi level: 1.9 states/eV per cell
- Volume: 26.06 A^3/atom

=====

Which of these has the highest total magnetization? SmEuGaAu